# 1
First-principles (GGA-PBE) data for Ce2GaIrAu after structural relaxation, as listed in Alexandria.

The structure in extended XYZ format:
```
10
Lattice="4.303 0.000 0.000 0.000 7.632 0.301 0.000 -2.806 6.793" Properties=species:S:1:pos:R:3 pbc="T T T"
Ce 3.227 4.933 4.624
Ce 3.227 5.325 0.416
Ce 1.076 -0.108 2.470
Ce 1.076 -0.499 6.678
Ga 1.076 2.325 4.597
Ga 3.227 2.501 2.496
Ir 1.076 4.199 6.320
Ir 3.227 0.627 0.774
Au 1.076 4.287 2.434
Au 3.227 0.538 4.660
```

Summary:
SG   No. 11
Calculated formation energy   -0.699 eV per atom
Total magnetization   1.0 μB per formula unit

# 2
First-principles (GGA-PBE) data for Mg3SnPd2 after structural relaxation, as listed in Alexandria.

The structure in extended XYZ format:
```
6
Lattice="3.197 0.000 0.000 0.000 3.197 0.000 0.000 0.000 10.913" Properties=species:S:1:pos:R:3 pbc="T T T"
Mg 0.000 0.000 0.000
Mg 0.000 0.000 7.719
Mg 0.000 0.000 3.193
Sn 1.599 1.599 5.456
Pd 1.599 1.599 9.270
Pd 1.599 1.599 1.642
```

Summary:
SG   No. 123
Calculated formation energy   -0.543 eV per atom
Excess energy over the best structure of this formula in the dataset   0.000 eV per atom
Total magnetization   0.0 μB per formula unit